# 1
The following is a DFT calculation (PBE) of MnOsW2 after structural relaxation.

```
4
Lattice="-1.463 -0.167 2.274 -2.064 -1.049 -1.405 2.836 -7.304 1.287" Properties=species:S:1:pos:R:3 pbc="T T T"
W -0.988 -2.606 0.786
W 2.804 -7.221 1.273
Mn 1.467 -3.777 0.666
Os 0.280 -5.871 1.362
```

Properties
energy above the lowest structure with this stoichiometry	0.056	eV/atom
energy of formation from the pure elements	163	meV per atom


# 2
The following is a DFT calculation (PBE) of KSn8Pt2 after structural relaxation.

```
11
Lattice="6.455 0.000 0.000 0.000 6.455 0.000 0.000 0.000 9.164" Properties=species:S:1:pos:R:3 pbc="T T T"
Sn 1.600 4.854 7.528
Sn 4.854 4.854 7.528
Sn 4.854 1.600 7.528
Sn 4.854 4.854 1.635
Sn 1.600 1.600 1.635
Sn 1.600 4.854 1.635
Sn 4.854 1.600 1.635
Sn 1.600 1.600 7.528
K 3.227 3.227 4.582
Pt 3.227 0.000 0.000
Pt 0.000 3.227 0.000
```

Properties
energy above the lowest structure with this stoichiometry	0.009	eV/atom
energy of formation from the pure elements	-168	meV per atom


# 3
The following is a DFT calculation (PBE) of Na4AgF2 after structural relaxation.

```
7
Lattice="-4.348 -1.472 2.857 -1.857 -2.773 -4.254 0.079 -7.460 1.392" Properties=species:S:1:pos:R:3 pbc="T T T"
Na -1.403 -4.974 0.418
Na -0.928 -1.387 -2.127
Na -4.723 -6.732 -0.423
Na -2.174 -0.736 1.429
F -2.413 -3.280 -0.245
F -3.713 -8.426 0.240
Ag 0.000 0.000 0.000
```

Properties
ΔE_f (raw)	-1045	meV/atom


# 4
The following is a DFT calculation (PBE) of CrMoBr2 after structural relaxation.

```
4
Lattice="-3.406 2.528 5.045 -6.389 -0.845 1.386 6.000 -2.496 -1.103" Properties=species:S:1:pos:R:3 pbc="T T T"
Cr -4.856 0.835 3.188
Mo -0.089 0.254 2.881
Br -0.459 0.079 0.301
Br -3.288 -1.138 2.173
```

Properties
energy above the lowest structure with this stoichiometry	0.401	eV/atom
ΔE_f (raw)	426	meV/atom


What DOS at the Fermi energy values result from the calculations? In sequence: 2.8; 6.6; 2.2; 2.0 states/eV/f.u..
What calculated volume values result from the calculations? In sequence: 14.6; 34.7; 27.4; 23.6 Å³ per atom.